# 1
Here is a relaxed structure of ZrTiNbCr2 from the Alexandria database. Energies are from GGA-PBE.

Unit cell a=4.3112 b=4.8356 c=4.3112 alpha=90.00 beta=90.00 gamma=90.00
Closest atoms and distances in Å follow each position.
Fractional positions:
Cr 0.0000 0.0000 0.5000  2 Ti 2.16
Cr 0.5000 0.0000 0.0000  2 Ti 2.16
Nb 0.0000 0.5000 0.0000  2 Ti 2.42
Zr 0.5000 0.5000 0.5000  4 Nb 3.05, 8 Cr 3.24
Ti 0.0000 0.0000 0.0000  4 Cr 2.16

## Properties
Space group ... P4/mmm

# 2
Here is a relaxed structure of NbTl2Cr from the Alexandria database. Energies are from GGA-PBE.

Unit cell a=7.7026 b=7.7026 c=6.2028 alpha=51.62 beta=51.62 gamma=90.00
Closest atoms and distances in Å follow each position.
Fractional positions:
Cr 0.5000 0.5000 0.0000  4 Tl 2.75, 2 Nb 2.97
Cr 0.2500 0.7500 0.5000  4 Tl 2.75, 2 Nb 2.97
Tl 0.6103 0.1250 0.2500  2 Cr 2.75, 2 Nb 2.90, 2 Tl 2.98
Tl 0.1397 0.6250 0.2500  2 Cr 2.75, 2 Nb 2.90, 2 Tl 2.98
Tl 0.3750 0.3897 0.7500  2 Cr 2.75, 2 Nb 2.90, 2 Tl 2.98
Tl 0.8750 0.8603 0.7500  2 Cr 2.75, 2 Nb 2.90, 2 Tl 2.98
Nb 0.0000 0.0000 0.0000  4 Tl 2.90, 2 Cr 2.97
Nb 0.7500 0.2500 0.5000  4 Tl 2.90, 2 Cr 2.97

## Properties
Space group ... I-42d
Energy above the lowest structure with this stoichiometry ... 0.00 kcal/mol of atoms

# 3
Here is a relaxed structure of NbTlCr3 from the Alexandria database. Energies are from GGA-PBE.

Unit cell a=4.8053 b=4.8053 c=4.8053 alpha=90.00 beta=90.00 gamma=90.00
Closest atoms and distances in Å follow each position.
Fractional positions:
Cr 0.0000 0.5000 0.0000  2 Nb 2.40
Cr 0.0000 0.0000 0.5000  2 Nb 2.40
Cr 0.5000 0.0000 0.0000  2 Nb 2.40
Tl 0.5000 0.5000 0.5000  12 Cr 3.40
Nb 0.0000 0.0000 0.0000  6 Cr 2.40

## Properties
Space group ... Pm-3m
Energy above the lowest structure with this stoichiometry ... 0.00 kcal/mol of atoms

In the order shown, the computed ΔE_f values come out to 1.037, 0.843, 1.447 eV/atom.
In the order shown, the computed raw total energy values come out to -40.6, -42.1, -34.1 eV for the cell shown.
In the order shown, the computed density of states at the Fermi level values come out to 1.448, 0.436, 1.042 states/eV per atom.